1.
First-principles (PBE) data for a geometry-optimized Ca4CoRe structure, as listed in Alexandria via LeMat-Bulk.

The space group is F-43m (No. 216) and the conventional cell measures 8.528, 8.528 and 8.528 Å, with angles of 90.00, 90.00 and 90.00 degrees. The distinct sites, in fractional coordinates, are Ca at (0.124, 0.124, 0.376), Co at (0.000, 0.000, 0.000) and Re at (0.250, 0.250, 0.750).

Its formation energy is 1.44 eV/atom. The value obtained for the total magnetization is 2.90 μB/f.u. For the final energy, the calculation gives -0.2318 Ry/atom.

=====

2.
First-principles (PBE) data for a geometry-optimized CaCo2Re structure, as listed in Alexandria via LeMat-Bulk.

The space group is I-4m2 (No. 119) and the conventional cell measures 3.706, 3.706 and 8.599 Å, with angles of 90.00, 90.00 and 90.00 degrees. The distinct sites, in fractional coordinates, are Ca at (0.000, 0.000, 0.000), Co at (0.000, 0.000, 0.500), Co at (0.000, 0.500, 0.750) and Re at (0.000, 0.500, 0.250).

Its formation energy is 0.78 eV/atom. The value obtained for the total magnetization is 0.39 μB/f.u. As for the energy above the most stable polymorph in this dataset: 497 meV per atom. For the final energy, the calculation gives -0.4690 Ry/atom.

=====

3.
First-principles (PBE) data for a geometry-optimized CaCoRe structure, as listed in Alexandria via LeMat-Bulk.

The space group is C2/m (No. 12) and the conventional cell measures 10.853, 3.989 and 5.451 Å, with angles of 90.00, 97.61 and 90.00 degrees. The distinct sites, in fractional coordinates, are Ca at (0.124, 0.000, 0.352), Co at (0.200, 0.000, 0.890) and Re at (0.087, 0.500, 0.875).

Its formation energy is 0.27 eV/atom. The value obtained for the total magnetization is 0.00 μB/f.u. As for the energy above the most stable polymorph in this dataset: 101 meV per atom. For the final energy, the calculation gives -0.5079 Ry/atom.

=====

4.
First-principles (PBE) data for a geometry-optimized Ca2CoRe structure, as listed in Alexandria via LeMat-Bulk.

The space group is R-3m (No. 166, hexagonal axes) and the conventional cell measures 3.0221, 3.0221 and 28.4869 Å, with angles of 90.00, 90.00 and 120.00 degrees. The distinct sites, in fractional coordinates, are Ca at (0.0000, 0.0000, 0.2438), Co at (0.0000, 0.0000, 0.5000) and Re at (0.0000, 0.0000, 0.0000).

Its formation energy is 0.90 eV/atom. The value obtained for the total magnetization is 0.32 μB/f.u. As for the energy above the most stable polymorph in this dataset: 517 meV per atom. For the final energy, the calculation gives -0.3670 Ry/atom.

=====

5.
First-principles (PBE) data for a geometry-optimized CaCoRe2Se structure, as listed in Alexandria via LeMat-Bulk.

The space group is P4/mmm (No. 123) and the conventional cell measures 4.655, 4.655 and 4.381 Å, with angles of 90.00, 90.00 and 90.00 degrees. The distinct sites, in fractional coordinates, are Ca at (0.000, 0.000, 0.000), Co at (0.500, 0.500, 0.000), Re at (0.000, 0.500, 0.500) and Se at (0.500, 0.500, 0.500).

The value obtained for the total magnetization is 1.35 μB/f.u. For the final energy, the calculation gives -0.4759 Ry/atom.

=====

6.
First-principles (PBE) data for a geometry-optimized CaCo2ReW structure, as listed in Alexandria via LeMat-Bulk.

The space group is P4/mmm (No. 123) and the conventional cell measures 4.461, 4.461 and 5.002 Å, with angles of 90.00, 90.00 and 90.00 degrees. The distinct sites, in fractional coordinates, are Ca at (0.000, 0.000, 0.000), Co at (0.000, 0.500, 0.500), Re at (0.000, 0.000, 0.500) and W at (0.500, 0.500, 0.000).

Its formation energy is 2.00 eV/atom. The value obtained for the total magnetization is 3.65 μB/f.u. For the final energy, the calculation gives -0.4645 Ry/atom.